DFT (GGA-PBE) results for crystalline SmDyGa2Pd2 at its relaxed geometry.

abc: 4.5205 4.5205 6.9535
angles: 90.00 90.00 120.00
Closest atoms and distances in Å follow each position.
Space group P-3m1 (No. 164)
Asymmetric unit:
Sm 0.0000 0.0000 0.0000 [1 per cell]  6 Ga 3.18, 6 Pd 3.19, 2 Dy 3.48
Dy 0.0000 0.0000 0.5000 [1 per cell]  6 Pd 3.08, 6 Ga 3.09
Ga 0.3333 0.6667 0.2615 [2 per cell]  3 Pd 2.61
Pd 0.3333 0.6667 0.7356 [2 per cell]  3 Ga 2.61

Calculated values
* DFT formation energy: -0.844 eV per atom
* spin magnetization: 0.00 μB/cell
* Fermi-level density of states: 4.0 states/eV per cell
* E: -5.138 eV per atom